CoAs2IrI: optimized geometry, PBEsol.

Summary:
Its calculated volume is 109.2 Å³/f.u. The calculated total energy comes out at -25.7 eV per cell.

abc: 4.6991 4.6991 4.9433
angles: 90.00 90.00 90.00
Last column: nearest neighbours and their distance in Å.
Fractional positions:
I (0.5000, 0.5000, 0.5000)  4 Co 3.32, 8 As 3.41
As (0.0000, 0.5000, 0.0000)  2 Ir 2.35
As (0.5000, 0.0000, 0.0000)  2 Ir 2.35
Ir (0.0000, 0.0000, 0.0000)  4 As 2.35, 2 Co 2.47
Co (0.0000, 0.0000, 0.5000)  2 Ir 2.47

---

CoAsSe2I: optimized geometry, PBEsol.

Summary:
Its calculated volume is 146.5 Å³/f.u. The calculated total energy comes out at -14.1 eV per cell.

abc: 5.3007 5.3007 5.2146
angles: 90.00 90.00 90.00
Last column: nearest neighbours and their distance in Å.
Fractional positions:
I (0.0000, 0.0000, 0.0000)  2 As 2.61, 4 Se 2.65
As (0.0000, 0.0000, 0.5000)  2 I 2.61
Co (0.5000, 0.5000, 0.5000)  8 Se 3.72, 4 As 3.75
Se (0.0000, 0.5000, 0.0000)  2 I 2.65
Se (0.5000, 0.0000, 0.0000)  2 I 2.65

---

In3CoAs: optimized geometry, PBEsol.

Summary:
Its formation energy from the elements is 0.284 eV/atom. Its calculated volume is 113.0 Å³/f.u. The calculated total energy comes out at -20.4 eV per cell.

abc: 4.8345 4.8345 4.8345
angles: 90.00 90.00 90.00
Last column: nearest neighbours and their distance in Å.
Fractional positions:
As (0.5000, 0.5000, 0.5000)  12 In 3.42
Co (0.0000, 0.0000, 0.0000)  6 In 2.42
In (0.0000, 0.5000, 0.0000)  2 Co 2.42
In (0.0000, 0.0000, 0.5000)  2 Co 2.42
In (0.5000, 0.0000, 0.0000)  2 Co 2.42